[1]
A relaxed structure of Hf4BCl, computed with GGA-PBE.

Summary:
Spin magnetization (μB per cell): 0.01
V (Å³ per atom): 18.40
SG: R-3m (166)
Total DFT energy (no corrections) (eV per atom): -7.865

CIF file:
```
data_Hf4BCl
_space_group_name_H-M_alt 'P 1'
_space_group_IT_number 1
_cell_length_a 6.8016
_cell_length_b 6.8016
_cell_length_c 6.8016
_cell_angle_alpha 38.67
_cell_angle_beta 38.67
_cell_angle_gamma 38.67
loop_
_space_group_symop_operation_xyz
'x,y,z'
loop_
_atom_site_label
_atom_site_type_symbol
_atom_site_fract_x
_atom_site_fract_y
_atom_site_fract_z
Cl1 Cl 0.5000 0.5000 0.5000
Hf1 Hf 0.3679 0.3679 0.3679
Hf2 Hf 0.6321 0.6321 0.6321
B1 B 0.0000 0.0000 0.0000
Hf3 Hf 0.8755 0.8755 0.8755
Hf4 Hf 0.1245 0.1245 0.1245
```

=====

[2]
A relaxed structure of TlCuTe3Pd, computed with GGA-PBE.

Summary:
V (Å³ per atom): 25.55
SG: Cmcm (63)
Total DFT energy (no corrections) (eV per atom): -3.639

CIF file:
```
data_TlCuTe3Pd
_space_group_name_H-M_alt 'P 1'
_space_group_IT_number 1
_cell_length_a 7.0351
_cell_length_b 7.0351
_cell_length_c 11.1748
_cell_angle_alpha 90.00
_cell_angle_beta 90.00
_cell_angle_gamma 146.34
loop_
_space_group_symop_operation_xyz
'x,y,z'
loop_
_atom_site_label
_atom_site_type_symbol
_atom_site_fract_x
_atom_site_fract_y
_atom_site_fract_z
Te1 Te 0.3674 0.6326 0.9750
Te2 Te 0.3674 0.6326 0.5250
Te3 Te 0.6326 0.3674 0.0250
Pd1 Pd 0.0000 0.0000 0.0000
Cu1 Cu 0.4180 0.5820 0.7500
Te4 Te 0.9596 0.0404 0.2500
Pd2 Pd 0.0000 0.0000 0.5000
Tl1 Tl 0.2515 0.7485 0.2500
Te5 Te 0.6326 0.3674 0.4750
Tl2 Tl 0.7485 0.2515 0.7500
Cu2 Cu 0.5820 0.4180 0.2500
Te6 Te 0.0404 0.9596 0.7500
```

=====

[3]
A relaxed structure of Tm8Te, computed with GGA-PBE.

Summary:
Spin magnetization (μB per cell): 0.02
V (Å³ per atom): 29.54
SG: P-62m (189)
Total DFT energy (no corrections) (eV per atom): -4.605

CIF file:
```
data_Tm8Te
_space_group_name_H-M_alt 'P 1'
_space_group_IT_number 1
_cell_length_a 9.0842
_cell_length_b 9.0842
_cell_length_c 3.7194
_cell_angle_alpha 90.00
_cell_angle_beta 90.00
_cell_angle_gamma 120.00
loop_
_space_group_symop_operation_xyz
'x,y,z'
loop_
_atom_site_label
_atom_site_type_symbol
_atom_site_fract_x
_atom_site_fract_y
_atom_site_fract_z
Te1 Te 0.0000 0.0000 0.0000
Tm1 Tm 0.2771 0.0000 0.5000
Tm2 Tm 0.6140 0.0000 0.0000
Tm3 Tm 0.0000 0.6140 0.0000
Tm4 Tm 0.0000 0.2771 0.5000
Tm5 Tm 0.3333 0.6667 0.5000
Tm6 Tm 0.6667 0.3333 0.5000
Tm7 Tm 0.3860 0.3860 0.0000
Tm8 Tm 0.7229 0.7229 0.5000
```

=====

[4]
A relaxed structure of CsPPtO, computed with GGA-PBE.

Summary:
Spin magnetization (μB per cell): 0.07
V (Å³ per atom): 24.15
SG: Pmc2_1 (26)
Total DFT energy (no corrections) (eV per atom): -4.692

CIF file:
```
data_CsPPtO
_space_group_name_H-M_alt 'P 1'
_space_group_IT_number 1
_cell_length_a 3.8460
_cell_length_b 6.3914
_cell_length_c 7.8593
_cell_angle_alpha 90.00
_cell_angle_beta 90.00
_cell_angle_gamma 90.00
loop_
_space_group_symop_operation_xyz
'x,y,z'
loop_
_atom_site_label
_atom_site_type_symbol
_atom_site_fract_x
_atom_site_fract_y
_atom_site_fract_z
Cs1 Cs 0.5000 0.3753 0.1002
Pt1 Pt 0.0000 0.8921 0.9596
Pt2 Pt 0.0000 0.1079 0.4596
Cs2 Cs 0.5000 0.6247 0.6002
P1 P 0.0000 0.1381 0.7548
O1 O 0.5000 0.1966 0.4393
P2 P 0.0000 0.8619 0.2548
O2 O 0.5000 0.8034 0.9393
```

=====

[5]
A relaxed structure of KTmHgO3, computed with GGA-PBE.

Summary:
Spin magnetization (μB per cell): 0.00
V (Å³ per atom): 17.66
SG: Cmcm (63)
Total DFT energy (no corrections) (eV per atom): -5.364

CIF file:
```
data_KTmHgO3
_space_group_name_H-M_alt 'P 1'
_space_group_IT_number 1
_cell_length_a 7.0195
_cell_length_b 7.0195
_cell_length_c 8.8609
_cell_angle_alpha 90.00
_cell_angle_beta 90.00
_cell_angle_gamma 29.04
loop_
_space_group_symop_operation_xyz
'x,y,z'
loop_
_atom_site_label
_atom_site_type_symbol
_atom_site_fract_x
_atom_site_fract_y
_atom_site_fract_z
Tm1 Tm 0.0000 0.0000 0.5000
O1 O 0.9741 0.9741 0.7500
O2 O 0.3927 0.3927 0.4803
O3 O 0.6073 0.6073 0.9803
Hg1 Hg 0.6135 0.6135 0.7500
Hg2 Hg 0.3865 0.3865 0.2500
O4 O 0.6073 0.6073 0.5197
K1 K 0.6755 0.6755 0.2500
K2 K 0.3245 0.3245 0.7500
O5 O 0.3927 0.3927 0.0197
O6 O 0.0259 0.0259 0.2500
Tm2 Tm 0.0000 0.0000 0.0000
```

=====

[6]
A relaxed structure of LiYTlCu, computed with GGA-PBE.

Summary:
Spin magnetization (μB per cell): 0.00
V (Å³ per atom): 18.89
SG: F-43m (216)
Total DFT energy (no corrections) (eV per atom): -3.881

CIF file:
```
data_LiYTlCu
_space_group_name_H-M_alt 'P 1'
_space_group_IT_number 1
_cell_length_a 4.7452
_cell_length_b 4.7452
_cell_length_c 4.7452
_cell_angle_alpha 60.00
_cell_angle_beta 60.00
_cell_angle_gamma 60.00
loop_
_space_group_symop_operation_xyz
'x,y,z'
loop_
_atom_site_label
_atom_site_type_symbol
_atom_site_fract_x
_atom_site_fract_y
_atom_site_fract_z
Li1 Li 0.2500 0.2500 0.2500
Tl1 Tl 0.0000 0.0000 0.0000
Cu1 Cu 0.7500 0.7500 0.7500
Y1 Y 0.5000 0.5000 0.5000
```

=====

[7]
A relaxed structure of ErReSi, computed with GGA-PBE.

Summary:
Spin magnetization (μB per cell): 0.00
V (Å³ per atom): 19.51
SG: F-43m (216)
Total DFT energy (no corrections) (eV per atom): -7.410

CIF file:
```
data_ErReSi
_space_group_name_H-M_alt 'P 1'
_space_group_IT_number 1
_cell_length_a 4.3584
_cell_length_b 4.3584
_cell_length_c 4.3584
_cell_angle_alpha 60.00
_cell_angle_beta 60.00
_cell_angle_gamma 60.00
loop_
_space_group_symop_operation_xyz
'x,y,z'
loop_
_atom_site_label
_atom_site_type_symbol
_atom_site_fract_x
_atom_site_fract_y
_atom_site_fract_z
Re1 Re 0.7500 0.7500 0.7500
Si1 Si 0.0000 0.0000 0.0000
Er1 Er 0.2500 0.2500 0.2500
```

=====

[8]
A relaxed structure of CdPtNO, computed with GGA-PBE.

Summary:
Spin magnetization (μB per cell): 0.00
V (Å³ per atom): 14.75
SG: Pmc2_1 (26)
Total DFT energy (no corrections) (eV per atom): -4.754

CIF file:
```
data_CdPtNO
_space_group_name_H-M_alt 'P 1'
_space_group_IT_number 1
_cell_length_a 3.6267
_cell_length_b 5.2429
_cell_length_c 6.2057
_cell_angle_alpha 90.00
_cell_angle_beta 90.00
_cell_angle_gamma 90.00
loop_
_space_group_symop_operation_xyz
'x,y,z'
loop_
_atom_site_label
_atom_site_type_symbol
_atom_site_fract_x
_atom_site_fract_y
_atom_site_fract_z
O1 O 0.5000 0.4248 0.2092
O2 O 0.5000 0.9248 0.7908
Pt1 Pt 0.0000 0.4901 0.4154
Pt2 Pt 0.0000 0.9901 0.5846
N1 N 0.0000 0.3384 0.7020
Cd1 Cd 0.5000 0.5008 0.8560
N2 N 0.0000 0.8384 0.2980
Cd2 Cd 0.5000 0.0008 0.1440
```

=====

These records have theoretical density values of 11.4 8.2 9.2 6.4 7.2 8.0 10.8 9.5 Mg/m³, in the order they appear.